Here is Li2GaAu2 at its PBEsol-relaxed geometry from Alexandria. Energies are from SCAN.

POSCAR file:
```
Li2GaAu2
1.0
7.001 0.000 0.000
0.000 7.001 0.000
0.000 0.000 3.184
Li Ga Au
4 2 4
direct
0.151 0.349 0.000
0.349 0.849 0.000
0.651 0.151 0.000
0.849 0.651 0.000
0.000 0.000 0.500
0.500 0.500 0.500
0.148 0.648 0.500
0.352 0.148 0.500
0.648 0.852 0.500
0.852 0.352 0.500
```

Output
D(E_F) = 2.76 states/eV per cell
magnetization = 0.000 μB per atom
raw total energy = -323.96 eV/cell
theoretical density = 10.2 g cm⁻³

***

Here is CaAsBr2F at its PBEsol-relaxed geometry from Alexandria. Energies are from SCAN.

POSCAR file:
```
CaAsBr2F
1.0
5.350 0.000 0.000
0.000 5.350 0.000
0.000 0.000 6.878
Ca As Br F
1 1 2 1
direct
0.000 0.000 0.000
0.000 0.000 0.500
0.000 0.500 0.000
0.500 0.000 0.000
0.500 0.500 0.500
```

Output
D(E_F) = 5.59 states/eV per cell
magnetization = 0.447 μB per atom
raw total energy = -74.56 eV/cell
energy relative to the elements, uncorrected = -10.35 kcal/mol of atoms
theoretical density = 2.5 g cm⁻³

***

Here is CsLiTe2 at its PBEsol-relaxed geometry from Alexandria. Energies are from SCAN.

POSCAR file:
```
CsLiTe2
1.0
5.941 0.000 0.000
0.000 5.941 0.000
0.000 0.000 18.076
Cs Li Te
4 4 8
direct
0.000 0.000 0.000
0.000 0.500 0.250
0.500 0.000 0.750
0.500 0.500 0.500
0.000 0.000 0.500
0.000 0.500 0.750
0.500 0.000 0.250
0.500 0.500 0.000
0.055 0.250 0.625
0.250 0.555 0.875
0.250 0.945 0.375
0.445 0.250 0.125
0.555 0.750 0.125
0.750 0.055 0.375
0.750 0.445 0.875
0.945 0.750 0.625
```

Output
D(E_F) = 4.59 states/eV per cell
magnetization = 0.000 μB per atom
raw total energy = -473.77 eV/cell
energy relative to the elements, uncorrected = -21.57 kcal/mol of atoms
theoretical density = 4.1 g cm⁻³

***

Here is Nb3CuSb at its PBEsol-relaxed geometry from Alexandria. Energies are from SCAN.

POSCAR file:
```
Nb3CuSb
1.0
4.623 0.000 0.000
0.000 4.623 0.000
0.000 0.000 4.623
Nb Cu Sb
3 1 1
direct
0.000 0.000 0.500
0.000 0.500 0.000
0.500 0.000 0.000
0.000 0.000 0.000
0.500 0.500 0.500
```

Output
D(E_F) = 3.81 states/eV per cell
magnetization = 0.000 μB per atom
raw total energy = -148.05 eV/cell
energy relative to the elements, uncorrected = 17.50 kcal/mol of atoms
theoretical density = 7.8 g cm⁻³

***

Here is TlCd2Ga at its PBEsol-relaxed geometry from Alexandria. Energies are from SCAN.

POSCAR file:
```
TlCd2Ga
1.0
7.138 0.000 0.000
0.000 7.138 0.000
0.000 0.000 7.138
Tl Cd Ga
4 8 4
direct
0.000 0.000 0.000
0.000 0.500 0.500
0.500 0.000 0.500
0.500 0.500 0.000
0.250 0.250 0.250
0.250 0.250 0.750
0.250 0.750 0.250
0.250 0.750 0.750
0.750 0.250 0.250
0.750 0.250 0.750
0.750 0.750 0.250
0.750 0.750 0.750
0.000 0.000 0.500
0.000 0.500 0.000
0.500 0.000 0.000
0.500 0.500 0.500
```

Output
D(E_F) = 6.14 states/eV per cell
magnetization = 0.000 μB per atom
raw total energy = -595.54 eV/cell
theoretical density = 9.1 g cm⁻³

***

Here is Sr2MnIr at its PBEsol-relaxed geometry from Alexandria. Energies are from SCAN.

POSCAR file:
```
Sr2MnIr
1.0
3.481 0.000 0.000
0.000 3.481 0.000
0.000 0.000 8.787
Sr Mn Ir
2 1 1
direct
0.000 0.000 0.000
0.500 0.500 0.410
0.500 0.500 0.742
0.000 0.000 0.659
```

Output
D(E_F) = 1.85 states/eV per cell
magnetization = 0.965 μB per atom
raw total energy = -133.98 eV/cell
E above lowest polymorph = 0 meV/atom
theoretical density = 6.6 g cm⁻³

***

Here is GeTeF2 at its PBEsol-relaxed geometry from Alexandria. Energies are from SCAN.

POSCAR file:
```
GeTeF2
1.0
6.452 0.000 0.000
0.000 6.452 0.000
0.000 0.000 9.032
Ge Te F
4 4 8
direct
0.000 0.000 0.000
0.000 0.500 0.250
0.500 0.000 0.750
0.500 0.500 0.500
0.000 0.000 0.500
0.000 0.500 0.750
0.500 0.000 0.250
0.500 0.500 0.000
0.059 0.750 0.125
0.250 0.059 0.875
0.250 0.441 0.375
0.441 0.750 0.625
0.559 0.250 0.625
0.750 0.559 0.375
0.750 0.941 0.875
0.941 0.250 0.125
```

Output
D(E_F) = 10.30 states/eV per cell
magnetization = 0.000 μB per atom
raw total energy = -267.38 eV/cell
energy relative to the elements, uncorrected = -19.75 kcal/mol of atoms
theoretical density = 4.2 g cm⁻³

***

Here is CsGa2P2 at its PBEsol-relaxed geometry from Alexandria. Energies are from SCAN.

POSCAR file:
```
CsGa2P2
1.0
4.248 0.000 0.000
0.000 4.248 0.000
0.000 0.000 13.822
Cs Ga P
2 4 4
direct
0.000 0.000 0.000
0.500 0.500 0.500
0.000 0.500 0.250
0.000 0.500 0.750
0.500 0.000 0.250
0.500 0.000 0.750
0.000 0.000 0.342
0.000 0.000 0.658
0.500 0.500 0.158
0.500 0.500 0.842
```

Output
D(E_F) = 1.41 states/eV per cell
magnetization = 0.000 μB per atom
raw total energy = -186.65 eV/cell
theoretical density = 4.5 g cm⁻³

***

Here is SrPb2W at its PBEsol-relaxed geometry from Alexandria. Energies are from SCAN.

POSCAR file:
```
SrPb2W
1.0
3.697 0.000 0.000
0.000 3.697 0.000
0.000 0.000 7.873
Sr Pb W
1 2 1
direct
0.000 0.000 0.000
0.000 0.000 0.420
0.500 0.500 0.687
0.500 0.500 0.304
```

Output
D(E_F) = 2.82 states/eV per cell
magnetization = 0.000 μB per atom
raw total energy = -241.02 eV/cell
E above lowest polymorph = 0 meV/atom
theoretical density = 10.6 g cm⁻³

***

Here is BeH3S at its PBEsol-relaxed geometry from Alexandria. Energies are from SCAN.

POSCAR file:
```
BeH3S
1.0
3.241 0.000 0.000
0.000 3.241 0.000
0.000 0.000 3.241
Be H S
1 3 1
direct
0.000 0.000 0.000
0.000 0.000 0.500
0.000 0.500 0.000
0.500 0.000 0.000
0.500 0.500 0.500
```

Output
D(E_F) = 1.39 states/eV per cell
magnetization = 0.000 μB per atom
raw total energy = -19.71 eV/cell
theoretical density = 2.2 g cm⁻³

***

Here is Li3InGa at its PBEsol-relaxed geometry from Alexandria. Energies are from SCAN.

POSCAR file:
```
Li3InGa
1.0
4.756 0.000 0.000
0.000 4.756 0.000
0.000 0.000 4.756
Li In Ga
3 1 1
direct
0.000 0.000 0.500
0.000 0.500 0.000
0.500 0.000 0.000
0.500 0.500 0.500
0.000 0.000 0.000
```

Output
D(E_F) = 2.29 states/eV per cell
magnetization = 0.102 μB per atom
raw total energy = -56.47 eV/cell
theoretical density = 3.2 g cm⁻³

***

Here is TeAsRuN2 at its PBEsol-relaxed geometry from Alexandria. Energies are from SCAN.

POSCAR file:
```
TeAsRuN2
1.0
3.660 0.000 0.000
0.000 3.660 0.000
0.000 0.000 6.645
Te As Ru N
1 1 1 2
direct
0.000 0.000 0.000
0.000 0.000 0.500
0.500 0.500 0.000
0.000 0.500 0.500
0.500 0.000 0.500
```

Output
D(E_F) = 2.77 states/eV per cell
magnetization = 0.492 μB per atom
raw total energy = -103.10 eV/cell
energy relative to the elements, uncorrected = 35.73 kcal/mol of atoms
theoretical density = 6.2 g cm⁻³

***

Here is TaCo6Sb at its PBEsol-relaxed geometry from Alexandria. Energies are from SCAN.

POSCAR file:
```
TaCo6Sb
1.0
3.609 -5.111 0.000
3.609 5.111 0.000
0.000 0.000 10.223
Ta Co Sb
4 24 4
direct
0.000 0.000 0.248
0.000 0.000 0.752
0.246 0.754 0.000
0.754 0.246 0.000
0.000 0.000 0.000
0.000 0.000 0.500
0.122 0.374 0.123
0.122 0.374 0.877
0.124 0.371 0.373
0.124 0.371 0.627
0.247 0.753 0.247
0.247 0.753 0.753
0.371 0.124 0.373
0.371 0.124 0.627
0.374 0.122 0.123
0.374 0.122 0.877
0.500 0.500 0.000
0.500 0.500 0.500
0.626 0.878 0.123
0.626 0.878 0.877
0.629 0.876 0.373
0.629 0.876 0.627
0.753 0.247 0.247
0.753 0.247 0.753
0.876 0.629 0.373
0.876 0.629 0.627
0.878 0.626 0.123
0.878 0.626 0.877
0.248 0.752 0.500
0.500 0.500 0.248
0.500 0.500 0.752
0.752 0.248 0.500
```

Output
D(E_F) = 17.61 states/eV per cell
magnetization = 0.000 μB per atom
raw total energy = -827.34 eV/cell
energy relative to the elements, uncorrected = 2.41 kcal/mol of atoms
theoretical density = 11.6 g cm⁻³

***

Here is BeAl2Tc at its PBEsol-relaxed geometry from Alexandria. Energies are from SCAN.

POSCAR file:
```
BeAl2Tc
1.0
3.157 0.000 0.000
0.000 4.306 0.000
0.000 0.000 7.907
Be Al Tc
2 4 2
direct
0.000 0.000 0.000
0.500 0.500 0.000
0.000 0.500 0.243
0.000 0.500 0.757
0.500 0.000 0.243
0.500 0.000 0.757
0.000 0.000 0.500
0.500 0.500 0.500
```

Output
D(E_F) = 3.74 states/eV per cell
magnetization = 0.000 μB per atom
raw total energy = -109.45 eV/cell
theoretical density = 5.0 g cm⁻³

***

Here is ZrSnRh3 at its PBEsol-relaxed geometry from Alexandria. Energies are from SCAN.

POSCAR file:
```
ZrSnRh3
1.0
4.690 0.000 0.000
0.000 4.690 0.000
0.000 0.000 4.690
Zr Sn Rh
1 1 3
direct
0.000 0.000 0.000
0.500 0.500 0.500
0.000 0.500 0.500
0.500 0.000 0.500
0.500 0.500 0.000
```

Output
D(E_F) = 6.80 states/eV per cell
magnetization = 0.001 μB per atom
raw total energy = -164.41 eV/cell
theoretical density = 8.4 g cm⁻³

***

Here is TiFe2PC at its PBEsol-relaxed geometry from Alexandria. Energies are from SCAN.

POSCAR file:
```
TiFe2PC
1.0
3.958 0.000 0.000
0.000 3.958 0.000
0.000 0.000 4.582
Ti Fe P C
1 2 1 1
direct
0.000 0.000 0.000
0.000 0.500 0.500
0.500 0.000 0.500
0.000 0.000 0.500
0.500 0.500 0.000
```

Output
D(E_F) = 3.29 states/eV per cell
magnetization = 0.891 μB per atom
raw total energy = -66.90 eV/cell
theoretical density = 4.7 g cm⁻³

***

Here is SrTc2Os at its PBEsol-relaxed geometry from Alexandria. Energies are from SCAN.

POSCAR file:
```
SrTc2Os
1.0
5.620 0.000 0.000
0.000 9.220 0.000
-0.804 0.000 2.559
Sr Tc Os
2 4 2
direct
0.000 0.000 0.000
0.500 0.500 0.000
0.250 0.250 0.500
0.250 0.750 0.500
0.750 0.250 0.500
0.750 0.750 0.500
0.000 0.500 0.000
0.500 0.000 0.000
```

Output
D(E_F) = 8.50 states/eV per cell
magnetization = 0.000 μB per atom
raw total energy = -320.14 eV/cell
E above lowest polymorph = 183 meV/atom
theoretical density = 11.9 g cm⁻³

***

Here is YTcP2H at its PBEsol-relaxed geometry from Alexandria. Energies are from SCAN.

POSCAR file:
```
YTcP2H
1.0
4.403 0.000 0.000
0.000 4.403 0.000
0.000 0.000 5.476
Y Tc P H
1 1 2 1
direct
0.000 0.000 0.000
0.000 0.000 0.500
0.000 0.500 0.500
0.500 0.000 0.500
0.500 0.500 0.000
```

Output
D(E_F) = 1.56 states/eV per cell
magnetization = 0.000 μB per atom
raw total energy = -86.62 eV/cell
theoretical density = 3.9 g cm⁻³

***

Here is La2CoHBr at its PBEsol-relaxed geometry from Alexandria. Energies are from SCAN.

POSCAR file:
```
La2CoHBr
1.0
4.693 0.000 0.000
0.000 4.693 0.000
0.000 0.000 4.562
La Co H Br
2 1 1 1
direct
0.000 0.500 0.000
0.500 0.000 0.000
0.000 0.000 0.500
0.500 0.500 0.000
0.500 0.500 0.500
```

Output
D(E_F) = 2.95 states/eV per cell
magnetization = 0.317 μB per atom
raw total energy = -127.40 eV/cell
theoretical density = 6.9 g cm⁻³

***

Here is TaTcIr2 at its PBEsol-relaxed geometry from Alexandria. Energies are from SCAN.

POSCAR file:
```
TaTcIr2
1.0
9.076 0.000 0.000
0.000 2.774 0.000
-0.830 0.000 4.726
Ta Tc Ir
2 2 4
direct
0.000 0.000 0.000
0.500 0.500 0.000
0.257 0.500 0.294
0.757 0.000 0.294
0.251 0.000 0.766
0.499 0.000 0.493
0.751 0.500 0.766
0.999 0.500 0.493
```

Output
D(E_F) = 4.42 states/eV per cell
magnetization = 0.000 μB per atom
raw total energy = -491.22 eV/cell
E above lowest polymorph = 201 meV/atom
theoretical density = 18.5 g cm⁻³

***

Here is NbTePt3 at its PBEsol-relaxed geometry from Alexandria. Energies are from SCAN.

POSCAR file:
```
NbTePt3
1.0
4.826 0.000 0.000
0.000 4.826 0.000
0.000 0.000 4.826
Nb Te Pt
1 1 3
direct
0.000 0.000 0.000
0.500 0.500 0.500
0.000 0.500 0.500
0.500 0.000 0.500
0.500 0.500 0.000
```

Output
D(E_F) = 3.25 states/eV per cell
magnetization = 0.580 μB per atom
raw total energy = -276.29 eV/cell
energy relative to the elements, uncorrected = 21.53 kcal/mol of atoms
E above lowest polymorph = 0 meV/atom
theoretical density = 11.9 g cm⁻³

***

Here is BaSi2F2 at its PBEsol-relaxed geometry from Alexandria. Energies are from SCAN.

POSCAR file:
```
BaSi2F2
1.0
6.852 0.000 0.000
0.000 6.852 0.000
0.000 0.000 4.278
Ba Si F
2 4 4
direct
0.000 0.000 0.000
0.500 0.500 0.000
0.127 0.373 0.500
0.373 0.873 0.500
0.627 0.127 0.500
0.873 0.627 0.500
0.135 0.365 0.000
0.365 0.865 0.000
0.635 0.135 0.000
0.865 0.635 0.000
```

Output
D(E_F) = 2.96 states/eV per cell
magnetization = 0.000 μB per atom
raw total energy = -146.63 eV/cell
energy relative to the elements, uncorrected = -30.68 kcal/mol of atoms
theoretical density = 3.8 g cm⁻³

***

Here is NiIrSe at its PBEsol-relaxed geometry from Alexandria. Energies are from SCAN.

POSCAR file:
```
NiIrSe
1.0
2.943 0.000 0.000
0.000 2.943 0.000
0.000 0.000 9.412
Ni Ir Se
2 2 2
direct
0.000 0.000 0.000
0.500 0.500 0.500
0.000 0.000 0.323
0.500 0.500 0.823
0.000 0.000 0.652
0.500 0.500 0.152
```

Output
D(E_F) = 4.65 states/eV per cell
magnetization = 0.000 μB per atom
raw total energy = -212.23 eV/cell
energy relative to the elements, uncorrected = 9.49 kcal/mol of atoms
theoretical density = 13.4 g cm⁻³

***

Here is Pr4CoI5 at its PBEsol-relaxed geometry from Alexandria. Energies are from SCAN.

POSCAR file:
```
Pr4CoI5
1.0
9.670 -2.035 0.000
9.670 2.035 0.000
-2.072 0.000 8.743
Pr Co I
4 1 5
direct
0.000 0.000 0.204
0.000 0.000 0.796
0.352 0.352 0.923
0.648 0.648 0.077
0.500 0.500 0.000
0.169 0.169 0.356
0.174 0.174 0.816
0.500 0.500 0.500
0.826 0.826 0.184
0.831 0.831 0.644
```

Output
D(E_F) = 4.90 states/eV per cell
magnetization = 0.000 μB per atom
raw total energy = -385.96 eV/cell
energy relative to the elements, uncorrected = -26.86 kcal/mol of atoms
theoretical density = 6.1 g cm⁻³

***

Here is LiZn3Fe at its PBEsol-relaxed geometry from Alexandria. Energies are from SCAN.

POSCAR file:
```
LiZn3Fe
1.0
4.545 0.000 0.000
0.000 4.545 0.000
0.000 0.000 4.545
Li Zn Fe
1 3 1
direct
0.000 0.000 0.000
0.000 0.500 0.500
0.500 0.000 0.500
0.500 0.500 0.000
0.500 0.500 0.500
```

Output
D(E_F) = 2.41 states/eV per cell
magnetization = 0.363 μB per atom
raw total energy = -59.31 eV/cell
theoretical density = 4.6 g cm⁻³

***

Here is RbNiBi3 at its PBEsol-relaxed geometry from Alexandria. Energies are from SCAN.

POSCAR file:
```
RbNiBi3
1.0
5.290 0.000 0.000
0.000 5.290 0.000
0.000 0.000 5.290
Rb Ni Bi
1 1 3
direct
0.000 0.000 0.000
0.500 0.500 0.500
0.000 0.500 0.500
0.500 0.000 0.500
0.500 0.500 0.000
```

Output
D(E_F) = 4.67 states/eV per cell
magnetization = 0.000 μB per atom
raw total energy = -272.21 eV/cell
theoretical density = 8.6 g cm⁻³

***

Here is CdSbP4 at its PBEsol-relaxed geometry from Alexandria. Energies are from SCAN.

POSCAR file:
```
CdSbP4
1.0
0.000 3.954 3.954
3.954 0.000 3.954
3.954 3.954 0.000
Cd Sb P
1 1 4
direct
0.000 0.000 0.000
0.750 0.750 0.750
0.351 0.351 0.351
0.351 0.351 0.947
0.351 0.947 0.351
0.947 0.351 0.351
```

Output
D(E_F) = 3.75 states/eV per cell
magnetization = 0.000 μB per atom
raw total energy = -105.59 eV/cell
energy relative to the elements, uncorrected = 14.13 kcal/mol of atoms
theoretical density = 4.8 g cm⁻³